SrCdFe2 | GGA-PBEsol | relaxed

abc: 4.2558 4.2558 4.1490
angles: 90.00 90.00 90.00
Space group P4/mmm (No. 123)
Symmetry-distinct sites (fractional):
Sr 0.0000 0.0000 0.0000 (multiplicity 1)
Cd 0.5000 0.5000 0.0000 (multiplicity 1)
Fe 0.0000 0.5000 0.5000 (multiplicity 2)

Total energy, Ry per atom: -0.325
Energy relative to the elements, eV per formula unit: 3.3